20
Lattice="5.777 0.000 0.000 0.000 5.779 0.000 0.000 0.000 8.170" Properties=species:S:1:pos:R:3 comment="Ac2DyCoO6, optimized geometry, DFT PBE with a Hubbard U" e_tot_ev_per_atom=-7.50 magnetic_moment_mub_per_cell=0.2 volume_a3_per_cell=272.7 spacegroup="Pmmn, No. 59" pbc="T T T"
O 2.888 1.436 5.997
O 4.241 0.087 4.085
O 4.241 2.791 4.085
O 2.888 1.436 2.173
O 4.424 2.987 0.000
O 1.352 5.692 0.000
O 4.424 5.692 0.000
O 1.536 0.087 4.085
O 1.353 2.987 0.000
O 1.536 2.791 4.085
O 0.000 4.343 6.258
O 0.000 4.343 1.912
Co 0.000 4.339 0.000
Co 2.888 1.440 4.085
Dy 0.000 4.327 4.085
Dy 2.888 1.451 0.000
Ac 0.000 1.438 6.126
Ac 0.000 1.438 2.043
Ac 2.888 4.341 6.128
Ac 2.888 4.341 2.041